Compound: K3MgBi
Source: Alexandria
Functional: PBEsol
Structure: relaxed

- space group = Pm-3m (221)

a = 6.7581 Å, b = 6.7581 Å, c = 6.7581 Å
α = 90.00°, β = 90.00°, γ = 90.00°
With the nearest neighbours (Å) after each atom.
Sites, in units of the cell vectors:
K (0.0000, 0.0000, 0.5000)  2 Bi 3.38
K (0.0000, 0.5000, 0.0000)  2 Bi 3.38
K (0.5000, 0.0000, 0.0000)  2 Bi 3.38
Mg (0.5000, 0.5000, 0.5000)  12 K 4.78
Bi (0.0000, 0.0000, 0.0000)  6 K 3.38

Compound: KMgBi
Source: Alexandria
Functional: PBEsol
Structure: relaxed

- space group = P4/nmm (129)

a = 4.8702 Å, b = 4.8702 Å, c = 8.3855 Å
α = 90.00°, β = 90.00°, γ = 90.00°
With the nearest neighbours (Å) after each atom.
Sites, in units of the cell vectors:
K (0.2500, 0.2500, 0.1516)  5 Bi 3.64-3.72, 4 Mg 3.80
K (0.7500, 0.7500, 0.8484)  5 Bi 3.64-3.72, 4 Mg 3.80
Mg (0.2500, 0.7500, 0.5000)  4 Bi 3.00
Mg (0.7500, 0.2500, 0.5000)  4 Bi 3.00
Bi (0.2500, 0.2500, 0.7084)  4 Mg 3.00
Bi (0.7500, 0.7500, 0.2916)  4 Mg 3.00

Number 1: uncorrected energy -1.811 eV per atom, energy of formation 69 meV/atom. Number 2: uncorrected energy -2.869 eV per atom, energy of formation -491 meV/atom.